# 1
Computed, not measured: a geometry-optimized GdZrNO structure at the PBE level of DFT.

**Crystal system**: orthorhombic
**Spin magnetization**: 0.043 Bohr magnetons per cell
**Space group**: No. 26
**Calculated density**: 6945 kg/m3

a = 3.6052 Å, b = 6.2018 Å, c = 5.9560 Å
α = 90.00°, β = 90.00°, γ = 90.00°
Closest atoms and distances in Å follow each position.
Fractional positions:
Gd 0.0000 0.1736 0.0000  2 O 2.25, 2 N 2.30-2.46
Gd 0.0000 0.8264 0.5000  2 O 2.25, 2 N 2.30-2.46
Zr 0.5000 0.3677 0.4554  2 N 2.14, 2 O 2.18-2.24
Zr 0.5000 0.6323 0.9554  2 N 2.14, 2 O 2.18-2.24
N 0.0000 0.1870 0.4123  2 Zr 2.14, 1 Gd 2.30
N 0.0000 0.8130 0.9123  2 Zr 2.14, 1 Gd 2.30
O 0.5000 0.2970 0.8139  2 Zr 2.18-2.24, 2 Gd 2.25
O 0.5000 0.7030 0.3139  2 Zr 2.18-2.24, 2 Gd 2.25

# 2
Computed, not measured: a geometry-optimized CsGdCoTe3 structure at the PBE level of DFT.

**Crystal system**: orthorhombic
**Spin magnetization**: 5.486 Bohr magnetons per cell
**Space group**: No. 63
**Calculated density**: 5615 kg/m3

a = 8.9496 Å, b = 8.9496 Å, c = 11.5508 Å
α = 90.00°, β = 90.00°, γ = 152.10°
Closest atoms and distances in Å follow each position.
Fractional positions:
Cs 0.2407 0.7593 0.7500  8 Te 3.83-4.26
Cs 0.7593 0.2407 0.2500  8 Te 3.83-4.26
Gd 0.5000 0.5000 0.0000  6 Te 3.06-3.09
Gd 0.5000 0.5000 0.5000  6 Te 3.06-3.09
Co 0.0304 0.9696 0.2500  4 Te 2.59-2.65
Co 0.9696 0.0304 0.7500  4 Te 2.59-2.65
Te 0.1185 0.8815 0.0693  1 Co 2.59
Te 0.1185 0.8815 0.4307  1 Co 2.59
Te 0.4416 0.5584 0.2500  2 Co 2.65
Te 0.5584 0.4416 0.7500  2 Co 2.65
Te 0.8815 0.1185 0.5693  1 Co 2.59
Te 0.8815 0.1185 0.9307  1 Co 2.59

# 3
Computed, not measured: a geometry-optimized LiBiAu2 structure at the PBE level of DFT.

**Crystal system**: cubic
**Space group**: No. 216
**Calculated density**: 12583 kg/m3

a = 6.8536 Å, b = 6.8536 Å, c = 6.8536 Å
α = 90.00°, β = 90.00°, γ = 90.00°
Closest atoms and distances in Å follow each position.
Fractional positions:
Li 0.0000 0.0000 0.0000  4 Bi 2.97, 4 Au 2.97
Li 0.0000 0.5000 0.5000  4 Bi 2.97, 4 Au 2.97
Li 0.5000 0.0000 0.5000  4 Bi 2.97, 4 Au 2.97
Li 0.5000 0.5000 0.0000  4 Bi 2.97, 4 Au 2.97
Bi 0.2500 0.2500 0.7500  4 Li 2.97, 4 Au 2.97
Bi 0.2500 0.7500 0.2500  4 Li 2.97, 4 Au 2.97
Bi 0.7500 0.2500 0.2500  4 Li 2.97, 4 Au 2.97
Bi 0.7500 0.7500 0.7500  4 Li 2.97, 4 Au 2.97
Au 0.0000 0.0000 0.5000  4 Bi 2.97, 4 Au 2.97
Au 0.0000 0.5000 0.0000  4 Bi 2.97, 4 Au 2.97
Au 0.2500 0.2500 0.2500  4 Li 2.97, 4 Au 2.97
Au 0.2500 0.7500 0.7500  4 Li 2.97, 4 Au 2.97
Au 0.5000 0.0000 0.0000  4 Bi 2.97, 4 Au 2.97
Au 0.5000 0.5000 0.5000  4 Bi 2.97, 4 Au 2.97
Au 0.7500 0.2500 0.7500  4 Li 2.97, 4 Au 2.97
Au 0.7500 0.7500 0.2500  4 Li 2.97, 4 Au 2.97

# 4
Computed, not measured: a geometry-optimized AcYHf structure at the PBE level of DFT.

**Crystal system**: cubic
**Spin magnetization**: 7.758 Bohr magnetons per cell
**E_form**: 0.836 eV per atom
**Space group**: No. 216
**Calculated density**: 7416 kg/m3

a = 7.6219 Å, b = 7.6219 Å, c = 7.6219 Å
α = 90.00°, β = 90.00°, γ = 90.00°
Closest atoms and distances in Å follow each position.
Fractional positions:
Ac 0.0000 0.0000 0.0000  4 Hf 3.30
Ac 0.0000 0.5000 0.5000  4 Hf 3.30
Ac 0.5000 0.0000 0.5000  4 Hf 3.30
Ac 0.5000 0.5000 0.0000  4 Hf 3.30
Y 0.0000 0.0000 0.5000  4 Hf 3.30
Y 0.0000 0.5000 0.0000  4 Hf 3.30
Y 0.5000 0.0000 0.0000  4 Hf 3.30
Y 0.5000 0.5000 0.5000  4 Hf 3.30
Hf 0.2500 0.2500 0.2500  4 Ac 3.30, 4 Y 3.30
Hf 0.2500 0.7500 0.7500  4 Ac 3.30, 4 Y 3.30
Hf 0.7500 0.2500 0.7500  4 Ac 3.30, 4 Y 3.30
Hf 0.7500 0.7500 0.2500  4 Ac 3.30, 4 Y 3.30

# 5
Computed, not measured: a geometry-optimized Nb4S3N2 structure at the PBE level of DFT.

**Crystal system**: monoclinic
**Spin magnetization**: 0.011 Bohr magnetons per cell
**Space group**: No. 12
**Calculated density**: 5748 kg/m3

a = 6.2245 Å, b = 6.2245 Å, c = 9.1604 Å
α = 125.74°, β = 125.74°, γ = 30.47°
Closest atoms and distances in Å follow each position.
Fractional positions:
Nb 0.0736 0.0736 0.3471  1 N 1.96
Nb 0.2949 0.2949 0.1494  3 N 2.03-2.20
Nb 0.7051 0.7051 0.8506  3 N 2.03-2.20
Nb 0.9264 0.9264 0.6529  1 N 1.96
S 0.3013 0.3013 0.7135  5 Nb 2.50-2.76
S 0.5000 0.5000 0.5000  6 Nb 2.61-2.63
S 0.6987 0.6987 0.2865  5 Nb 2.50-2.76
N 0.1070 0.1070 0.8966  2 Nb 1.96-2.03
N 0.8930 0.8930 0.1034  2 Nb 1.96-2.03

# 6
Computed, not measured: a geometry-optimized BeGaReTe structure at the PBE level of DFT.

**Crystal system**: cubic
**Spin magnetization**: 0.022 Bohr magnetons per cell
**Space group**: No. 216
**Calculated density**: 10105 kg/m3

a = 6.3663 Å, b = 6.3663 Å, c = 6.3663 Å
α = 90.00°, β = 90.00°, γ = 90.00°
Closest atoms and distances in Å follow each position.
Fractional positions:
Be 0.0000 0.0000 0.0000  4 Te 2.76, 4 Ga 2.76
Be 0.0000 0.5000 0.5000  4 Te 2.76, 4 Ga 2.76
Be 0.5000 0.0000 0.5000  4 Te 2.76, 4 Ga 2.76
Be 0.5000 0.5000 0.0000  4 Te 2.76, 4 Ga 2.76
Ga 0.2500 0.2500 0.2500  4 Be 2.76, 4 Re 2.76
Ga 0.2500 0.7500 0.7500  4 Be 2.76, 4 Re 2.76
Ga 0.7500 0.2500 0.7500  4 Be 2.76, 4 Re 2.76
Ga 0.7500 0.7500 0.2500  4 Be 2.76, 4 Re 2.76
Re 0.0000 0.0000 0.5000  4 Ga 2.76, 4 Te 2.76
Re 0.0000 0.5000 0.0000  4 Ga 2.76, 4 Te 2.76
Re 0.5000 0.0000 0.0000  4 Ga 2.76, 4 Te 2.76
Re 0.5000 0.5000 0.5000  4 Ga 2.76, 4 Te 2.76
Te 0.2500 0.2500 0.7500  4 Re 2.76, 4 Be 2.76
Te 0.2500 0.7500 0.2500  4 Re 2.76, 4 Be 2.76
Te 0.7500 0.2500 0.2500  4 Re 2.76, 4 Be 2.76
Te 0.7500 0.7500 0.7500  4 Re 2.76, 4 Be 2.76

Short version: VASP energy = -33.93 -27.20 -13.31 -18.02 -76.74 -19.36 eV per formula unit, in the order given.